# 1
Entry from the Alexandria database: a geometry-optimized Rb2LiSn4 structure (GGA-PBE).

Computed properties:
The calculated formation energy comes out at -0.298 eV/atom. Its total DFT energy (no corrections) is -175.5 eV for the cell shown. The total magnetic moment is 0.00 μB/f.u.

a b c (Å): 9.8125 14.9506 15.0544
angles (deg): 97.31 103.64 102.61
Closest atoms and distances in Å follow each position.
Fractional coordinates of all 56 atoms:
Sn: 0.1110 0.1147 0.7580  1 Li 2.98, 4 Sn 3.00-3.09
Sn: 0.5046 0.0962 0.3067  2 Li 2.94-3.11, 4 Sn 3.02-3.08
Sn: 0.3965 0.2578 0.3893  1 Li 2.99, 4 Sn 3.00-3.09
Sn: 0.2388 0.1467 0.1955  2 Li 2.94-3.09, 4 Sn 3.03-3.08
Sn: 0.1752 0.2645 0.6471  4 Sn 3.00-3.09, 1 Li 3.01
Sn: 0.0122 0.6069 0.1461  4 Sn 3.00-3.10, 1 Li 3.02
Sn: 0.9878 0.3931 0.8539  4 Sn 3.00-3.10, 1 Li 3.02
Sn: 0.1325 0.8607 0.4023  2 Li 2.94-3.19, 4 Sn 3.05-3.09
Sn: 0.9772 0.1999 0.8996  2 Li 2.92-3.22, 4 Sn 3.04-3.10
Sn: 0.4939 0.1323 0.1130  1 Li 2.97, 4 Sn 3.01-3.10
Sn: 0.2587 0.7667 0.2607  1 Li 2.96, 4 Sn 3.00-3.10
Sn: 0.6035 0.7422 0.6107  1 Li 2.99, 4 Sn 3.00-3.09
Sn: 0.6515 0.3994 0.3560  2 Li 2.94-3.12, 4 Sn 3.05-3.09
Sn: 0.7612 0.8533 0.8045  2 Li 2.94-3.09, 4 Sn 3.03-3.08
Sn: 0.2462 0.7612 0.7305  1 Li 2.94, 4 Sn 3.01-3.08
Sn: 0.6565 0.6390 0.7686  1 Li 2.96, 4 Sn 3.00-3.08
Sn: 0.2521 0.3123 0.8619  2 Li 2.93-3.02, 4 Sn 3.02-3.09
Sn: 0.9193 0.3522 0.6385  2 Li 2.93-3.04, 4 Sn 3.01-3.10
Sn: 0.8248 0.7355 0.3529  4 Sn 3.00-3.09, 1 Li 3.01
Sn: 0.5910 0.3481 0.1446  2 Li 2.92-3.11, 4 Sn 3.04-3.10
Sn: 0.0228 0.8001 0.1004  2 Li 2.92-3.22, 4 Sn 3.04-3.10
Sn: 0.3485 0.6006 0.6440  2 Li 2.94-3.12, 4 Sn 3.05-3.09
Sn: 0.4090 0.6519 0.8554  2 Li 2.92-3.11, 4 Sn 3.04-3.10
Sn: 0.7538 0.2388 0.2695  1 Li 2.94, 4 Sn 3.01-3.08
Sn: 0.0807 0.6478 0.3615  2 Li 2.93-3.04, 4 Sn 3.01-3.10
Sn: 0.7479 0.6877 0.1381  2 Li 2.93-3.02, 4 Sn 3.02-3.09
Sn: 0.7413 0.2333 0.7393  1 Li 2.96, 4 Sn 3.00-3.10
Sn: 0.8890 0.8853 0.2420  1 Li 2.98, 4 Sn 3.00-3.09
Sn: 0.8675 0.1393 0.5977  2 Li 2.94-3.19, 4 Sn 3.05-3.09
Sn: 0.5061 0.8677 0.8870  1 Li 2.97, 4 Sn 3.01-3.10
Sn: 0.3435 0.3610 0.2314  1 Li 2.96, 4 Sn 3.00-3.08
Sn: 0.4954 0.9038 0.6933  2 Li 2.94-3.11, 4 Sn 3.02-3.08
Rb: 0.5062 0.1327 0.8706  4 Sn 3.59-4.00
Rb: 0.4938 0.8673 0.1294  4 Sn 3.59-4.00
Rb: 0.6051 0.9086 0.4346  5 Sn 3.76-3.97, 1 Rb 4.20, 1 Li 4.21
Rb: 0.4617 0.6024 0.3724  6 Sn 3.69-3.91, 1 Li 4.07
Rb: 0.9882 0.8846 0.6146  6 Sn 3.61-4.04, 1 Li 4.00
Rb: 0.8404 0.0413 0.0657  5 Sn 3.77-4.10, 1 Rb 4.19, 1 Li 4.21
Rb: 0.0327 0.6501 0.8842  5 Sn 3.65-3.81
Rb: 0.3949 0.0914 0.5654  5 Sn 3.76-3.97, 1 Rb 4.20, 1 Li 4.21
Rb: 0.6606 0.4662 0.9371  7 Sn 3.84-4.21, 1 Li 4.19, 1 Rb 4.27
Rb: 0.1037 0.4055 0.4369  7 Sn 3.86-4.29, 2 Rb 4.16-4.33, 1 Li 4.20
Rb: 0.8963 0.5945 0.5631  7 Sn 3.86-4.29, 2 Rb 4.16-4.33, 1 Li 4.20
Rb: 0.5383 0.3976 0.6276  6 Sn 3.69-3.91, 1 Li 4.07
Rb: 0.0118 0.1154 0.3854  6 Sn 3.61-4.04, 1 Li 4.00
Rb: 0.1596 0.9587 0.9343  5 Sn 3.77-4.10, 1 Rb 4.19, 1 Li 4.21
Rb: 0.3394 0.5338 0.0629  7 Sn 3.84-4.21, 1 Li 4.19, 1 Rb 4.27
Rb: 0.9673 0.3499 0.1158  5 Sn 3.65-3.81
Li: 0.7040 0.2475 0.4549  6 Sn 2.94-3.19
Li: 0.2923 0.2463 0.0458  6 Sn 2.92-3.22
Li: 0.7899 0.5429 0.2484  6 Sn 2.93-3.12
Li: 0.7077 0.7537 0.9542  6 Sn 2.92-3.22
Li: 0.2101 0.4571 0.7516  6 Sn 2.93-3.12
Li: 0.7975 0.0473 0.7483  6 Sn 2.92-3.11
Li: 0.2025 0.9527 0.2517  6 Sn 2.92-3.11
Li: 0.2960 0.7525 0.5451  6 Sn 2.94-3.19



# 2
Entry from the Alexandria database: a geometry-optimized K2HgTeO structure (GGA-PBE).

Computed properties:
The density of states at the Fermi level is 2.50 states/eV/cell. Its total DFT energy (no corrections) is -14.3 eV for the cell shown. The total magnetic moment is 0.00 μB/f.u.

a b c (Å): 5.6926 5.6926 4.3641
angles (deg): 90.00 90.00 90.00
Closest atoms and distances in Å follow each position.
Fractional coordinates of all 5 atoms:
K: 0.0000 0.5000 0.0000  2 O 2.85
K: 0.5000 0.0000 0.0000  2 O 2.85
Hg: 0.0000 0.0000 0.5000  2 O 2.18
O: 0.0000 0.0000 0.0000  2 Hg 2.18
Te: 0.5000 0.5000 0.5000  8 K 3.59



# 3
Entry from the Alexandria database: a geometry-optimized TiTeAu structure (GGA-PBE).

Computed properties:
The density of states at the Fermi level is 12.21 states/eV/cell. Its total DFT energy (no corrections) is -60.6 eV for the cell shown. The total magnetic moment is 0.21 μB/f.u.

a b c (Å): 3.7768 3.7768 22.7688
angles (deg): 90.00 90.00 120.00
Closest atoms and distances in Å follow each position.
Fractional coordinates of all 12 atoms:
Te: 0.6667 0.3333 0.7285  3 Ti 2.82, 3 Au 3.04
Te: 0.6667 0.3333 0.5747  3 Ti 2.77
Te: 0.3333 0.6667 0.4253  3 Ti 2.77
Te: 0.3333 0.6667 0.2715  3 Ti 2.82, 3 Au 3.04
Au: 0.3333 0.6667 0.8218  3 Ti 2.71
Au: 0.3333 0.6667 0.9600  3 Ti 2.67, 3 Au 2.84
Au: 0.6667 0.3333 0.1782  3 Ti 2.71
Au: 0.6667 0.3333 0.0400  3 Ti 2.67, 3 Au 2.84
Ti: 0.3333 0.6667 0.1079  6 Au 2.67-2.71
Ti: 0.6667 0.3333 0.8921  6 Au 2.67-2.71
Ti: 0.3333 0.6667 0.6499  6 Te 2.77-2.82
Ti: 0.6667 0.3333 0.3501  6 Te 2.77-2.82



# 4
Entry from the Alexandria database: a geometry-optimized Hg2PdRh2Se6 structure (GGA-PBE).

Computed properties:
The density of states at the Fermi level is 3.77 states/eV/cell. Its total DFT energy (no corrections) is -44.6 eV for the cell shown. The total magnetic moment is 0.00 μB/f.u.

a b c (Å): 6.5020 6.5020 7.4287
angles (deg): 99.46 99.46 119.83
Closest atoms and distances in Å follow each position.
Fractional coordinates of all 11 atoms:
Pd: 0.0000 0.0000 0.5000  6 Se 2.52-2.59
Rh: 0.6680 0.3320 0.5000  6 Se 2.48-2.54
Rh: 0.3320 0.6680 0.5000  6 Se 2.48-2.54
Hg: 0.1705 0.8295 0.0000  6 Se 2.97-3.20
Hg: 0.8295 0.1705 0.0000  6 Se 2.97-3.20
Se: 0.0672 0.4121 0.6866  2 Rh 2.48-2.52, 1 Pd 2.59
Se: 0.2624 0.2624 0.3156  1 Pd 2.52, 2 Rh 2.54
Se: 0.4121 0.0672 0.6866  2 Rh 2.48-2.52, 1 Pd 2.59
Se: 0.9328 0.5879 0.3134  2 Rh 2.48-2.52, 1 Pd 2.59
Se: 0.7376 0.7376 0.6844  1 Pd 2.52, 2 Rh 2.54
Se: 0.5879 0.9328 0.3134  2 Rh 2.48-2.52, 1 Pd 2.59



# 5
Entry from the Alexandria database: a geometry-optimized YMgCu structure (GGA-PBE).

Computed properties:
The calculated formation energy comes out at -0.152 eV/atom. The density of states at the Fermi level is 10.64 states/eV/cell. Its total DFT energy (no corrections) is -50.4 eV for the cell shown. The total magnetic moment is 0.00 μB/f.u.

a b c (Å): 7.6832 6.6582 5.8240
angles (deg): 64.14 90.00 90.00
Closest atoms and distances in Å follow each position.
Fractional coordinates of all 12 atoms:
Mg: 0.7500 0.3821 0.3094  4 Cu 2.76-2.83, 2 Mg 2.91
Mg: 0.7500 0.3821 0.8094  4 Cu 2.76-2.83, 2 Mg 2.91
Mg: 0.2500 0.6179 0.1906  4 Cu 2.76-2.83, 2 Mg 2.91
Mg: 0.2500 0.6179 0.6906  4 Cu 2.76-2.83, 2 Mg 2.91
Cu: 0.9498 0.6935 0.4021  1 Cu 2.44
Cu: 0.0502 0.3065 0.5979  1 Cu 2.44
Cu: 0.4498 0.3065 0.0979  1 Cu 2.44
Cu: 0.5502 0.6935 0.9021  1 Cu 2.44
Y: 0.1022 0.1309 0.1848  4 Cu 2.87-3.13
Y: 0.6022 0.8691 0.3152  4 Cu 2.87-3.13
Y: 0.3978 0.1309 0.6848  4 Cu 2.87-3.13
Y: 0.8978 0.8691 0.8152  4 Cu 2.87-3.13



# 6
Entry from the Alexandria database: a geometry-optimized RbH2Ir2 structure (GGA-PBE).

Computed properties:
The density of states at the Fermi level is 9.75 states/eV/cell. Its total DFT energy (no corrections) is -41.4 eV for the cell shown. The total magnetic moment is 0.00 μB/f.u.

a b c (Å): 8.1601 8.1601 2.6667
angles (deg): 90.00 90.00 90.00
Closest atoms and distances in Å follow each position.
Fractional coordinates of all 10 atoms:
Ir: 0.6063 0.1063 0.0000  4 H 2.05
Ir: 0.1063 0.3937 0.0000  4 H 2.05
Ir: 0.8937 0.6063 0.0000  4 H 2.05
Ir: 0.3937 0.8937 0.0000  4 H 2.05
H: 0.9174 0.4174 0.5000  1 H 1.91, 4 Ir 2.05
H: 0.5826 0.9174 0.5000  1 H 1.91, 4 Ir 2.05
H: 0.0826 0.5826 0.5000  1 H 1.91, 4 Ir 2.05
H: 0.4174 0.0826 0.5000  1 H 1.91, 4 Ir 2.05
Rb: 0.5000 0.5000 0.0000  2 Rb 2.67
Rb: 0.0000 0.0000 0.0000  2 Rb 2.67



# 7
Entry from the Alexandria database: a geometry-optimized PaSnO structure (GGA-PBE).

Computed properties:
The density of states at the Fermi level is 14.23 states/eV/cell. Its total DFT energy (no corrections) is -93.9 eV for the cell shown. The total magnetic moment is 0.28 μB/f.u.

a b c (Å): 3.9118 8.4232 8.0302
angles (deg): 90.00 90.00 90.00
Closest atoms and distances in Å follow each position.
Fractional coordinates of all 12 atoms:
Sn: 0.2500 0.1373 0.0057  2 Sn 3.03, 5 Pa 3.29-3.36, 2 O 3.34-3.38
Sn: 0.7500 0.8627 0.9943  2 Sn 3.03, 5 Pa 3.29-3.36, 2 O 3.34-3.38
Sn: 0.2500 0.3627 0.5057  2 Sn 3.03, 5 Pa 3.29-3.36, 2 O 3.34-3.38
Sn: 0.7500 0.6373 0.4943  2 Sn 3.03, 5 Pa 3.29-3.36, 2 O 3.34-3.38
O: 0.2500 0.9806 0.3933  3 Pa 2.23-2.27
O: 0.7500 0.0194 0.6067  3 Pa 2.23-2.27
O: 0.7500 0.4806 0.1067  3 Pa 2.23-2.27
O: 0.2500 0.5194 0.8933  3 Pa 2.23-2.27
Pa: 0.2500 0.5937 0.1649  3 O 2.23-2.27
Pa: 0.7500 0.4063 0.8351  3 O 2.23-2.27
Pa: 0.7500 0.0937 0.3351  3 O 2.23-2.27
Pa: 0.2500 0.9063 0.6649  3 O 2.23-2.27



# 8
Entry from the Alexandria database: a geometry-optimized PmSc3Sn structure (GGA-PBE).

Computed properties:
The calculated formation energy comes out at -0.069 eV/atom. The density of states at the Fermi level is 10.15 states/eV/cell. Its total DFT energy (no corrections) is -56.2 eV for the cell shown. The total magnetic moment is 0.00 μB/f.u.

a b c (Å): 5.8960 7.4384 7.4383
angles (deg): 120.00 90.00 90.00
Closest atoms and distances in Å follow each position.
Fractional coordinates of all 10 atoms:
Pm: 0.2501 0.3332 0.6666  12 Sc 3.45-3.74
Pm: 0.7499 0.6668 0.3334  12 Sc 3.45-3.74
Sn: 0.5000 0.0000 0.0000  6 Sc 2.90, 2 Sn 2.95
Sn: 0.0000 0.0000 0.0000  6 Sc 2.90, 2 Sn 2.95
Sc: 0.7500 0.6117 0.8059  2 Sn 2.90, 2 Sc 3.10-3.11
Sc: 0.2500 0.3883 0.1941  2 Sn 2.90, 2 Sc 3.10-3.11
Sc: 0.7500 0.1942 0.3883  2 Sn 2.90, 2 Sc 3.11
Sc: 0.2500 0.8058 0.6117  2 Sn 2.90, 2 Sc 3.11
Sc: 0.7501 0.1943 0.8059  2 Sn 2.90, 2 Sc 3.10-3.11
Sc: 0.2499 0.8057 0.1941  2 Sn 2.90, 2 Sc 3.10-3.11



# 9
Entry from the Alexandria database: a geometry-optimized Be2SiSbAu structure (GGA-PBE).

Computed properties:
The density of states at the Fermi level is 1.90 states/eV/cell. Its total DFT energy (no corrections) is -17.4 eV for the cell shown. The total magnetic moment is 0.00 μB/f.u.

a b c (Å): 4.2092 5.2741 4.2092
angles (deg): 90.00 90.00 90.00
Closest atoms and distances in Å follow each position.
Fractional coordinates of all 5 atoms:
Au: 0.0000 0.5000 0.0000  2 Si 2.64
Be: 0.0000 0.0000 0.5000  2 Si 2.10
Be: 0.5000 0.0000 0.0000  2 Si 2.10
Sb: 0.5000 0.5000 0.5000  4 Au 2.98
Si: 0.0000 0.0000 0.0000  4 Be 2.10



# 10
Entry from the Alexandria database: a geometry-optimized BaHgSe2Br structure (GGA-PBE).

Computed properties:
The density of states at the Fermi level is 2.95 states/eV/cell. Its total DFT energy (no corrections) is -14.9 eV for the cell shown. The total magnetic moment is 0.00 μB/f.u.

a b c (Å): 5.2695 5.2695 5.8621
angles (deg): 90.00 90.00 90.00
Closest atoms and distances in Å follow each position.
Fractional coordinates of all 5 atoms:
Se: 0.0000 0.5000 0.0000  2 Hg 2.63
Se: 0.5000 0.0000 0.0000  2 Hg 2.63
Br: 0.0000 0.0000 0.5000  2 Hg 2.93
Hg: 0.0000 0.0000 0.0000  4 Se 2.63, 2 Br 2.93
Ba: 0.5000 0.5000 0.5000  4 Br 3.73, 8 Se 3.94